Below is a geometry-optimized PmZrAlTc structure, with properties calculated at the PBE level.

- Spin magnetization: 0.000 μB per cell
- Fermi-level density of states: 2.37 states/eV/cell
- Formation enthalpy at 0 K: -0.118 eV per atom

Cell: 4.9122 4.9122 4.9122 Å, 60.00 60.00 60.00°
With the nearest neighbours (Å) after each atom.
Fractional positions:
Pm (0.0000, 0.0000, 0.0000)  4 Tc 3.01, 4 Al 3.01
Zr (0.5000, 0.5000, 0.5000)  4 Tc 3.01, 4 Al 3.01
Al (0.7500, 0.7500, 0.7500)  4 Zr 3.01, 4 Pm 3.01
Tc (0.2500, 0.2500, 0.2500)  4 Zr 3.01, 4 Pm 3.01